Entry 1:
The following is a DFT calculation (PBEsol) of TbGe after structural relaxation.

Cell lengths 3.910, 4.256, 5.725 Å; angles 68.18, 90.00, 90.00 degrees
Fractional coordinates of all 4 atoms:
1 Ge 0.250 0.416 0.168
2 Ge 0.750 0.584 0.832
3 Tb 0.250 0.139 0.723
4 Tb 0.750 0.861 0.277

Calculated values
Space group ... Cmcm, No. 63

Entry 2:
The following is a DFT calculation (PBEsol) of TbTiGe after structural relaxation.

Cell lengths 4.012, 4.012, 7.610 Å; angles 90.00, 90.00, 90.00 degrees
Last column: magnetic moment on the atom in μB.
Fractional coordinates of all 6 atoms:
1 Ge 0.500 0.000 0.242  0.00
2 Ti 0.500 0.500 0.000  0.25
3 Tb 0.000 0.500 0.344  -0.12
4 Tb 0.500 0.000 0.656  -0.12
5 Ti 0.000 0.000 0.000  0.25
6 Ge 0.000 0.500 0.758  0.00

Calculated values
Space group ... P4/nmm, No. 129

Entry 3:
The following is a DFT calculation (PBEsol) of TbTiGe after structural relaxation.

Cell lengths 3.999, 3.999, 8.165 Å; angles 104.17, 104.17, 90.00 degrees
Last column: magnetic moment on the atom in μB.
Fractional coordinates of all 6 atoms:
1 Ti 0.500 0.000 0.000  0.71
2 Ti 0.000 0.500 0.000  0.71
3 Ge 0.122 0.122 0.244  -0.01
4 Ge 0.878 0.878 0.756  -0.01
5 Tb 0.325 0.325 0.650  0.33
6 Tb 0.675 0.675 0.350  0.33

Calculated values
Space group ... I4/mmm, No. 139

Taking the records one at a time from the top gives E_tot values of -0.435, -0.501, -0.499 Ry/atom.
Taking the records one at a time from the top gives ρ values of 8.70, 7.58, 7.58 g/cm³.